Record 1
ReNi2Pt: PBEsol geometry, SCAN.

Summary:
* energy above the most stable polymorph in this dataset: 38 meV/atom
* energy of formation: -0.66 kcal/mol of atoms
* symmetry: Pmmm, No. 47

POSCAR file:
```
ReNi2Pt
1.0
2.646 0.000 0.000
0.000 3.606 0.000
0.000 0.000 5.284
Re Pt Ni
1 1 2
Direct
0.500 0.500 0.500
0.500 0.500 0.000
0.000 0.000 0.735
0.000 0.000 0.265
```

***

Record 2
HgRhCl2: PBEsol geometry, SCAN.

Summary:
* energy above the most stable polymorph in this dataset: 0 meV/atom
* formation energy without anion corrections: 0.1 eV per formula unit
* symmetry: P4mm, No. 99

POSCAR file:
```
HgRhCl2
1.0
-1.591 -2.712 0.278
2.269 -1.139 1.875
-3.692 2.798 6.168
Rh Hg Cl
1 1 2
Direct
0.500 0.500 0.757
0.000 0.000 0.519
0.000 0.000 0.929
0.500 0.500 0.295
```

***

Record 3
Ca3WCl2O5: PBEsol geometry, SCAN.

Summary:
* formation energy without anion corrections: -32.1 eV per formula unit
* symmetry: Pnma, No. 62

POSCAR file:
```
Ca3WCl2O5
1.0
-2.879 0.448 -4.741
1.912 -10.703 -2.173
-9.873 -2.925 5.718
Ca W Cl O
12 4 8 20
Direct
0.750 0.833 0.861
0.250 0.167 0.139
0.750 0.667 0.361
0.750 0.331 0.834
0.250 0.920 0.341
0.250 0.831 0.666
0.750 0.420 0.159
0.250 0.580 0.841
0.250 0.333 0.639
0.750 0.080 0.659
0.750 0.169 0.334
0.250 0.669 0.166
0.250 0.416 0.308
0.250 0.084 0.808
0.750 0.916 0.192
0.750 0.584 0.692
0.250 0.714 0.466
0.750 0.286 0.534
0.250 0.080 0.529
0.250 0.420 0.029
0.750 0.214 0.034
0.750 0.920 0.471
0.250 0.786 0.966
0.750 0.580 0.971
0.750 0.590 0.543
0.250 0.090 0.957
0.984 0.033 0.235
0.516 0.033 0.235
0.479 0.300 0.259
0.250 0.410 0.457
0.516 0.467 0.735
0.484 0.967 0.765
0.750 0.910 0.043
0.479 0.200 0.759
0.016 0.967 0.765
0.521 0.700 0.741
0.021 0.300 0.259
0.521 0.800 0.241
0.021 0.200 0.759
0.979 0.700 0.741
0.984 0.467 0.735
0.979 0.800 0.241
0.016 0.533 0.265
0.484 0.533 0.265
```

***

In the order shown, the computed D(E_F) values come out to 0.91 0.44 0.00 states/eV per atom.
In the order shown, the computed size of the total moment values come out to 0.00 1.61 0.00 μB/f.u..